Record 1
This record from Alexandria via LeMat-Bulk describes a relaxed structure of BeNiN2. The functional is PBE.

Results
- N(E_F): 0.12 states/eV/cell
- Electronic total energy: -25.09 eV for the cell shown
- Symmetry: R-3m, No. 166
- Formation energy from raw total energies: 6.168 kcal/mol of atoms

Cell: 5.285 5.285 5.285 Å, 32.21 32.21 32.21°
Sites, in units of the cell vectors:
N1 0.898 0.898 0.898
N2 0.102 0.102 0.102
Be1 0.000 0.000 0.000
Ni1 0.500 0.500 0.500

=====

Record 2
This record from Alexandria via LeMat-Bulk describes a relaxed structure of BaAlCd4. The functional is PBE.

Results
- N(E_F): 3.14 states/eV/cell
- DFT formation energy: -42 meV per atom
- Electronic total energy: -9.58 eV for the cell shown
- Symmetry: F-43m, No. 216

Cell: 6.144 6.144 6.144 Å, 60.00 60.00 60.00°
Sites, in units of the cell vectors:
Ba1 0.000 0.000 0.000
Al1 0.750 0.750 0.750
Cd1 0.376 0.873 0.376
Cd2 0.873 0.376 0.376
Cd3 0.376 0.376 0.376
Cd4 0.376 0.376 0.873

=====

Record 3
This record from Alexandria via LeMat-Bulk describes a relaxed structure of RbScBr2. The functional is PBE.

Results
- N(E_F): 3.74 states/eV/cell
- Energy above the lowest structure with this stoichiometry: 0.246 eV per atom
- Electronic total energy: -13.77 eV for the cell shown
- Symmetry: Fm-3m, No. 225
- Formation energy from raw total energies: -18.032 kcal/mol of atoms

Cell: 5.487 5.487 5.487 Å, 60.00 60.00 60.00°
Last column: magnetic moment on the atom in μB.
Sites, in units of the cell vectors:
Rb1 0.500 0.500 0.500  0.04
Br1 0.250 0.250 0.250  -0.01
Br2 0.750 0.750 0.750  -0.01
Sc1 0.000 0.000 0.000  1.26

=====

Record 4
This record from Alexandria via LeMat-Bulk describes a relaxed structure of HfAsNO2. The functional is PBE.

Results
- N(E_F): 1.54 states/eV/cell
- Electronic total energy: -37.50 eV for the cell shown
- Symmetry: P4/mmm, No. 123
- Formation energy from raw total energies: -21.454 kcal/mol of atoms

Cell: 4.000 4.000 4.385 Å, 90.00 90.00 90.00°
Sites, in units of the cell vectors:
As1 0.500 0.500 0.500
O1 0.000 0.500 0.000
O2 0.500 0.000 0.000
N1 0.000 0.000 0.500
Hf1 0.000 0.000 0.000

=====

Record 5
This record from Alexandria via LeMat-Bulk describes a relaxed structure of PrDyAs2. The functional is PBE.

Results
- N(E_F): 0.34 states/eV/cell
- DFT formation energy: -1345 meV per atom
- Energy above the lowest structure with this stoichiometry: 0.166 eV per atom
- Electronic total energy: -24.06 eV for the cell shown
- Symmetry: R3m, No. 160

Cell: 4.177 4.177 7.567 Å, 73.98 73.98 60.00°
Sites, in units of the cell vectors:
Pr1 0.669 0.669 0.992
As1 0.086 0.086 0.743
As2 0.247 0.247 0.258
Dy1 0.498 0.498 0.507

=====

Record 6
This record from Alexandria via LeMat-Bulk describes a relaxed structure of Th5Tc2Ag. The functional is PBE.

Results
- N(E_F): 19.75 states/eV/cell
- DFT formation energy: -167 meV per atom
- Electronic total energy: -124.04 eV for the cell shown
- Symmetry: I4/mcm, No. 140

Cell: 7.948 7.948 8.760 Å, 116.98 116.98 90.00°
Sites, in units of the cell vectors:
Th1 0.705 0.205 0.724
Th2 0.295 0.795 0.276
Th3 0.205 0.020 0.724
Th4 0.500 0.500 0.000
Th5 0.520 0.705 0.724
Th6 0.980 0.480 0.276
Th7 0.795 0.980 0.276
Th8 0.020 0.520 0.724
Th9 0.480 0.295 0.276
Th10 0.000 0.000 0.000
Ag1 0.750 0.750 0.500
Ag2 0.250 0.250 0.500
Tc1 0.141 0.359 0.000
Tc2 0.859 0.641 0.000
Tc3 0.641 0.141 0.000
Tc4 0.359 0.859 0.000

=====

Record 7
This record from Alexandria via LeMat-Bulk describes a relaxed structure of PrSc4Pt5. The functional is PBE.

Results
- N(E_F): 5.99 states/eV/cell
- DFT formation energy: -1192 meV per atom
- Electronic total energy: -72.23 eV for the cell shown
- Symmetry: P4/mmm, No. 123

Cell: 3.347 3.347 16.974 Å, 90.00 90.00 90.00°
Sites, in units of the cell vectors:
Pt1 0.500 0.500 0.687
Pt2 0.500 0.500 0.128
Pt3 0.500 0.500 0.872
Pt4 0.500 0.500 0.500
Pt5 0.500 0.500 0.313
Pr1 0.000 0.000 0.000
Sc1 0.000 0.000 0.214
Sc2 0.000 0.000 0.405
Sc3 0.000 0.000 0.595
Sc4 0.000 0.000 0.786

=====

Record 8
This record from Alexandria via LeMat-Bulk describes a relaxed structure of Ho4B2Cl5. The functional is PBE.

Results
- N(E_F): 3.11 states/eV/cell
- Electronic total energy: -56.86 eV for the cell shown
- Symmetry: Immm, No. 71
- Formation energy from raw total energies: -33.454 kcal/mol of atoms

Cell: 3.770 7.565 10.543 Å, 111.02 100.30 90.00°
Sites, in units of the cell vectors:
Cl1 0.168 0.415 0.335
Cl2 0.500 0.000 0.000
Cl3 0.168 0.920 0.335
Cl4 0.832 0.585 0.665
Cl5 0.832 0.080 0.665
B1 0.541 0.541 0.082
B2 0.459 0.459 0.918
Ho1 0.000 0.710 0.000
Ho2 0.659 0.659 0.317
Ho3 0.341 0.341 0.683
Ho4 0.000 0.290 0.000

=====

Look up the N(E_F) of the first one.
0.12 states/eV/cell

=====

What is the formula in the fifth record?
PrDyAs2

=====

Which value of N(E_F) does entry 5 give?
0.34 states/eV/cell

=====

electronic total energy of number 5 (PrDyAs2)?
-24.06 eV for the cell shown